[1]
# Mg4Ag7Sn

A geometry-optimized Mg4Ag7Sn structure (PBE, Alexandria).

The space group is C2/m (No. 12) and the conventional cell measures 10.5791, 5.1860 and 10.4207 Å, with angles of 90.00, 119.07 and 90.00 degrees. Symmetry generates all atoms from Mg at (0.1011, 0.0000, 0.2711), Mg at (0.2413, 0.5000, 0.1682), Ag at (0.0000, 0.0000, 0.5000), Ag at (0.0562, 0.5000, 0.8483), Ag at (0.1399, 0.0000, 0.0169), Ag at (0.2112, 0.5000, 0.4159) and Sn at (0.0000, 0.5000, 0.5000).

As for the crystal system: monoclinic. The total moment comes out at 0.00 μB/atom. The density of states at the Fermi level comes out at 8.5 states/eV/cell. The formation energy from the elements comes out at -0.01 eV per atom.

[2]
# ThMg3Au3

A geometry-optimized ThMg3Au3 structure (PBE, Alexandria).

The space group is Pm-3n (No. 223) and the conventional cell measures 7.1438, 7.1438 and 7.1438 Å, with angles of 90.00, 90.00 and 90.00 degrees. Symmetry generates all atoms from Th at (0.0000, 0.0000, 0.0000), Mg at (0.0000, 0.2500, 0.5000) and Au at (0.0000, 0.5000, 0.2500).

As for the crystal system: cubic. The total moment comes out at 0.00 μB/atom. The density of states at the Fermi level comes out at 12.5 states/eV/cell. The formation energy from the elements comes out at 0.03 eV per atom.

[3]
# Li2NbCu

A geometry-optimized Li2NbCu structure (PBE, Alexandria).

The space group is R-3m (No. 166, hexagonal axes) and the conventional cell measures 2.7295, 2.7295 and 29.6403 Å, with angles of 90.00, 90.00 and 120.00 degrees. Symmetry generates all atoms from Li at (0.0000, 0.0000, 0.0947), Nb at (0.0000, 0.0000, 0.0000) and Cu at (0.0000, 0.0000, 0.5000).

As for the polymorph energy (0 for the lowest one): 0.000 eV/f.u. As for the crystal system: trigonal. The total moment comes out at 0.00 μB/atom. The density of states at the Fermi level comes out at 6.4 states/eV/cell. The formation energy from the elements comes out at 0.26 eV per atom.

[4]
# CeZr2H8

A geometry-optimized CeZr2H8 structure (PBE, Alexandria).

The space group is Immm (No. 71) and the conventional cell measures 3.2645, 5.7505 and 10.0632 Å, with angles of 90.00, 90.00 and 90.00 degrees. Symmetry generates all atoms from Ce at (0.0000, 0.0000, 0.0000), Zr at (0.0000, 0.0000, 0.3258), H at (0.0000, 0.2046, 0.5000), H at (0.0000, 0.2704, 0.1656) and H at (0.0000, 0.5000, 0.3248).

As for the crystal system: orthorhombic. The calculation puts the total energy at -54.36 eV per formula unit. The total moment comes out at 0.09 μB/atom. The density of states at the Fermi level comes out at 13.7 states/eV/cell.